VASP calculation (GGA+U) on a geometry-optimized Sr3MnV2O8 structure.

## Properties
E_tot: -7.09 eV per atom
SG: P-3m1, No. 164
Spin magnetization: 7.000 Bohr magnetons per cell

a b c (Å): 5.735 5.735 7.257
angles (deg): 90.00 90.00 120.00
Element x y z (fractional)
Sr (0.000, 0.000, 0.000)
Sr (0.333, 0.667, 0.639)
Sr (0.667, 0.333, 0.361)
Mn (0.000, 0.000, 0.500)
V (0.333, 0.667, 0.202)
V (0.667, 0.333, 0.798)
O (0.168, 0.335, 0.313)
O (0.168, 0.832, 0.313)
O (0.333, 0.667, 0.959)
O (0.335, 0.168, 0.687)
O (0.665, 0.832, 0.313)
O (0.667, 0.333, 0.041)
O (0.832, 0.168, 0.687)
O (0.832, 0.665, 0.687)